Entry from Alexandria: Pm2Cu2Pt5Au after structural relaxation (PBE).

Values from the calculation:
N(E_F)	5.901	states/eV/cell
space group	P4/mbm (127)
formation enthalpy at 0 K	-7.2	eV per formula unit
total magnetization	0.00	μB/cell

abc: 9.4048 9.4048 4.0178
angles: 90.00 90.00 90.00
Closest atoms and distances in Å follow each position.
Atoms (fractional coordinates):
Pm1 0.1795 0.3205 0.0000  3 Cu 2.69-2.86
Pm2 0.3205 0.8205 0.0000  3 Cu 2.69-2.86
Pm3 0.6795 0.1795 0.0000  3 Cu 2.69-2.86
Pm4 0.8205 0.6795 0.0000  3 Cu 2.69-2.86
Cu1 0.1185 0.6185 0.0000  6 Pt 2.55-2.63, 1 Pm 2.69
Cu2 0.3815 0.1185 0.0000  6 Pt 2.55-2.63, 1 Pm 2.69
Cu3 0.6185 0.8815 0.0000  6 Pt 2.55-2.63, 1 Pm 2.69
Cu4 0.8815 0.3815 0.0000  6 Pt 2.55-2.63, 1 Pm 2.69
Pt1 0.0000 0.5000 0.5000  4 Cu 2.55, 4 Pt 2.81
Pt2 0.0661 0.7911 0.5000  2 Cu 2.63, 3 Pt 2.81-2.91, 2 Au 2.88
Pt3 0.2089 0.0661 0.5000  2 Cu 2.63, 3 Pt 2.81-2.91, 2 Au 2.88
Pt4 0.2911 0.5661 0.5000  2 Cu 2.63, 3 Pt 2.81-2.91, 2 Au 2.88
Pt5 0.4339 0.2911 0.5000  2 Cu 2.63, 3 Pt 2.81-2.91, 2 Au 2.88
Pt6 0.5000 0.0000 0.5000  4 Cu 2.55, 4 Pt 2.81
Pt7 0.5661 0.7089 0.5000  2 Cu 2.63, 3 Pt 2.81-2.91, 2 Au 2.88
Pt8 0.7089 0.4339 0.5000  2 Cu 2.63, 3 Pt 2.81-2.91, 2 Au 2.88
Pt9 0.7911 0.9339 0.5000  2 Cu 2.63, 3 Pt 2.81-2.91, 2 Au 2.88
Pt10 0.9339 0.2089 0.5000  2 Cu 2.63, 3 Pt 2.81-2.91, 2 Au 2.88
Au1 0.0000 0.0000 0.0000  8 Pt 2.88
Au2 0.5000 0.5000 0.0000  8 Pt 2.88